#one
Crystalline PrAsPd3 at its relaxed geometry, computed with GGA-PBE.

Cell lengths 6.7221, 6.7222, 6.7221 Å; angles 90.06, 119.96, 119.96 degrees
Last column: nearest neighbours and their distance in Å.
Fractional coordinates of all 10 atoms:
Pr 0.0000 0.7500 0.7500  12 Pd 3.36
Pr 0.0000 0.2500 0.2500  12 Pd 3.36
As 0.5000 0.5000 0.0000  6 Pd 2.38
As 0.5000 0.0000 0.5000  6 Pd 2.38
Pd 0.9999 0.7500 0.2500  2 As 2.38
Pd 0.5000 0.7500 0.2500  2 As 2.38
Pd 0.5000 0.7500 0.7500  2 As 2.38
Pd 0.5000 0.2500 0.7500  2 As 2.38
Pd 0.5000 0.2500 0.2500  2 As 2.38
Pd 0.0001 0.2500 0.7500  2 As 2.38

Output
**Calculated density**: 8.269 g/cm3
**Total magnetic moment**: 0.0 μB/cell

***

#two
Crystalline PrAsPd3 at its relaxed geometry, computed with GGA-PBE.

Cell lengths 5.3097, 5.3097, 8.9289 Å; angles 107.30, 107.30, 90.00 degrees
Last column: nearest neighbours and their distance in Å.
Fractional coordinates of all 10 atoms:
Pr 0.5969 0.0969 0.1938  6 Pd 3.02-3.18, 2 As 3.08
Pr 0.9031 0.4031 0.8062  6 Pd 3.02-3.18, 2 As 3.08
As 0.0000 0.0000 0.0000  4 Pd 2.43
As 0.2500 0.7500 0.5000  4 Pd 2.41
Pd 0.6190 0.8754 0.7509  2 As 2.41-2.43, 1 Pd 2.59
Pd 0.1246 0.8681 0.2491  2 As 2.41-2.43, 1 Pd 2.59
Pd 0.1246 0.3810 0.2491  2 As 2.41-2.43, 1 Pd 2.59
Pd 0.1319 0.8754 0.7509  2 As 2.41-2.43, 1 Pd 2.59
Pd 0.2955 0.2955 0.5910  2 As 2.76, 2 Pd 3.09
Pd 0.7045 0.7045 0.4090  2 As 2.76, 2 Pd 3.09

Output
**Calculated density**: 7.781 g/cm3
**Total magnetic moment**: 0.0 μB/cell

***

Which structure wins on stability? #one wins.

***

#one
Crystalline Pr2AsPd at its relaxed geometry, computed with GGA-PBE.

Cell lengths 4.1996, 4.1996, 7.7413 Å; angles 74.26, 74.26, 60.00 degrees
Last column: nearest neighbours and their distance in Å.
Fractional coordinates of all 4 atoms:
Pr 0.0805 0.0805 0.7586  3 As 3.02, 3 Pd 3.09
Pr 0.2530 0.2530 0.2409  3 As 2.99, 3 Pd 3.07
As 0.6658 0.6658 0.0025  6 Pr 2.99-3.02
Pd 0.5007 0.5007 0.4980  6 Pr 3.07-3.09

Output
**Calculated density**: 6.849 g/cm3
**Total magnetic moment**: 0.0 μB/cell

***

#two
Crystalline Pr2AsPd at its relaxed geometry, computed with GGA-PBE.

Cell lengths 3.9915, 3.9915, 9.3721 Å; angles 77.70, 77.70, 60.00 degrees
Last column: nearest neighbours and their distance in Å.
Fractional coordinates of all 4 atoms:
Pr 0.1009 0.1009 0.6973  1 Pd 2.75, 3 As 2.92
Pr 0.8991 0.8991 0.3027  1 Pd 2.75, 3 As 2.92
As 0.5000 0.5000 0.5000  6 Pr 2.92
Pd 0.0000 0.0000 0.0000  2 Pr 2.75

Output
**Calculated density**: 6.136 g/cm3
**Total magnetic moment**: 0.0 μB/cell

***

Which structure wins on stability? #one wins.